Record 1
Density functional theory data (PBE) for a geometry-optimized YTl2Co structure.

Cell: 5.8261 5.8261 5.8261 Å, 144.90 126.13 65.94°
With the nearest neighbours (Å) after each atom.
Positions (direct):
Co 0.2500 0.7500 0.5000  4 Tl 2.74
Y 0.7500 0.2500 0.5000  4 Co 3.17, 8 Tl 3.29-3.37, 2 Y 3.51
Tl 0.0351 0.0351 0.0000  2 Co 2.74
Tl 0.4649 0.4649 0.0000  2 Co 2.74

## Properties
energy	-4.48	eV per atom
N(E_F)	3.57	states/eV/cell
DFT formation energy	0.10	eV per atom

Record 2
Density functional theory data (PBE) for a geometry-optimized YTlCo structure.

Cell: 4.8058 4.8058 4.8058 Å, 60.00 60.00 60.00°
With the nearest neighbours (Å) after each atom.
Positions (direct):
Tl 0.5000 0.5000 0.5000  4 Y 2.94
Y 0.7500 0.7500 0.7500  4 Tl 2.94, 4 Co 2.94
Co 0.0000 0.0000 0.0000  4 Y 2.94

## Properties
energy	-4.69	eV per atom
N(E_F)	3.54	states/eV/cell
DFT formation energy	0.62	eV per atom

Record 3
Density functional theory data (PBE) for a geometry-optimized YTlCo structure.

Cell: 5.8433 5.8431 3.4460 Å, 72.85 72.85 34.30°
With the nearest neighbours (Å) after each atom.
Positions (direct):
Tl 0.3564 0.3564 0.6436  4 Co 2.85, 1 Y 3.09
Co 0.9958 0.9958 0.0042  4 Tl 2.85, 4 Y 2.92
Y 0.6478 0.6478 0.3522  4 Co 2.92, 1 Tl 3.09

## Properties
energy	-5.30	eV per atom
N(E_F)	1.62	states/eV/cell
DFT formation energy	0.01	eV per atom

Record 4
Density functional theory data (PBE) for a geometry-optimized Y11Tl9Co4 structure.

Cell: 3.6825 13.0854 13.0854 Å, 112.55 90.00 90.00°
With the nearest neighbours (Å) after each atom.
Positions (direct):
Y 0.0000 0.8366 0.1634  8 Tl 3.25-3.45, 1 Y 3.56
Y 0.0000 0.6249 0.3751  4 Co 2.91
Y 0.0000 0.5817 0.9138  2 Co 2.72
Y 0.0000 0.4183 0.0862  2 Co 2.72
Y 0.0000 0.0862 0.4183  2 Co 2.72
Y 0.0000 0.3751 0.6249  4 Co 2.91
Y 0.0000 0.3134 0.3134  4 Co 2.91
Y 0.0000 0.9138 0.5817  2 Co 2.72
Y 0.0000 0.1634 0.8366  8 Tl 3.25-3.45, 1 Y 3.56
Y 0.0000 0.0000 0.0000  8 Tl 3.23, 2 Y 3.56
Y 0.0000 0.6866 0.6866  4 Co 2.91
Tl 0.5000 0.7803 0.9252  1 Co 3.00, 4 Y 3.14-3.23, 1 Tl 3.15
Tl 0.5000 0.1551 0.6292  1 Co 3.04, 1 Tl 3.13, 4 Y 3.15-3.25
Tl 0.5000 0.3708 0.8449  1 Co 3.04, 1 Tl 3.13, 4 Y 3.15-3.25
Tl 0.5000 0.0748 0.2197  1 Co 3.00, 4 Y 3.14-3.23, 1 Tl 3.15
Tl 0.5000 0.8449 0.3708  1 Co 3.04, 1 Tl 3.13, 4 Y 3.15-3.25
Tl 0.5000 0.2197 0.0748  1 Co 3.00, 4 Y 3.14-3.23, 1 Tl 3.15
Tl 0.5000 0.6292 0.1551  1 Co 3.04, 1 Tl 3.13, 4 Y 3.15-3.25
Tl 0.5000 0.5000 0.5000  4 Co 3.10, 8 Y 3.28
Tl 0.5000 0.9252 0.7803  1 Co 3.00, 4 Y 3.14-3.23, 1 Tl 3.15
Co 0.5000 0.2488 0.4497  6 Y 2.72-2.91, 2 Tl 3.00-3.04
Co 0.5000 0.7512 0.5503  6 Y 2.72-2.91, 2 Tl 3.00-3.04
Co 0.5000 0.5503 0.7512  6 Y 2.72-2.91, 2 Tl 3.00-3.04
Co 0.5000 0.4497 0.2488  6 Y 2.72-2.91, 2 Tl 3.00-3.04

## Properties
energy	-5.37	eV per atom
N(E_F)	14.45	states/eV/cell
DFT formation energy	-0.33	eV per atom

Look up the DFT formation energy of the third one.
0.01 eV per atom

Look up the N(E_F) of the fourth one.
14.45 states/eV/cell

Copy entry 1 word for word.
Density functional theory data (PBE) for a geometry-optimized YTl2Co structure.

Cell: 5.8261 5.8261 5.8261 Å, 144.90 126.13 65.94°
With the nearest neighbours (Å) after each atom.
Positions (direct):
Co 0.2500 0.7500 0.5000  4 Tl 2.74
Y 0.7500 0.2500 0.5000  4 Co 3.17, 8 Tl 3.29-3.37, 2 Y 3.51
Tl 0.0351 0.0351 0.0000  2 Co 2.74
Tl 0.4649 0.4649 0.0000  2 Co 2.74

## Properties
energy	-4.48	eV per atom
N(E_F)	3.57	states/eV/cell
DFT formation energy	0.10	eV per atom

Please write out number 1 again, unchanged.
Density functional theory data (PBE) for a geometry-optimized YTl2Co structure.

Cell: 5.8261 5.8261 5.8261 Å, 144.90 126.13 65.94°
With the nearest neighbours (Å) after each atom.
Positions (direct):
Co 0.2500 0.7500 0.5000  4 Tl 2.74
Y 0.7500 0.2500 0.5000  4 Co 3.17, 8 Tl 3.29-3.37, 2 Y 3.51
Tl 0.0351 0.0351 0.0000  2 Co 2.74
Tl 0.4649 0.4649 0.0000  2 Co 2.74

## Properties
energy	-4.48	eV per atom
N(E_F)	3.57	states/eV/cell
DFT formation energy	0.10	eV per atom